#a
! HgRhBr2 GGA-PBE optimized geometry; values from VASP
! - N(E_F): 0.849 states/eV/atom
! - Calculated density: 8.098 g/cm³
&SYSTEM
  ibrav = 0, nat = 4, ntyp = 3
/
ATOMIC_SPECIES
Hg 200.59 Hg.upf
Rh 102.91 Rh.upf
Br 79.90 Br.upf
CELL_PARAMETERS angstrom
3.396 0.000 0.000
0.000 3.396 0.000
0.000 0.000 8.239
ATOMIC_POSITIONS angstrom
Hg 0.000 0.000 0.000
Rh 1.698 1.698 1.766
Br 0.000 0.000 3.174
Br 1.698 1.698 6.432

---

#b
! HgRhBr2 GGA-PBE optimized geometry; values from VASP
! - N(E_F): 0.860 states/eV/atom
! - Calculated density: 5.165 g/cm³
&SYSTEM
  ibrav = 0, nat = 8, ntyp = 3
/
ATOMIC_SPECIES
Hg 200.59 Hg.upf
Rh 102.91 Rh.upf
Br 79.90 Br.upf
CELL_PARAMETERS angstrom
-3.725 3.725 5.366
3.725 -3.725 5.366
3.725 3.725 -5.366
ATOMIC_POSITIONS angstrom
Hg 0.000 0.000 0.000
Hg 0.000 3.725 2.683
Rh 3.725 0.000 2.683
Rh 0.000 0.000 5.366
Br 1.863 -0.805 4.024
Br 2.920 1.863 1.341
Br 1.863 4.530 -1.341
Br 0.805 1.863 6.707

---

#c
! HgRhBr2 GGA-PBE optimized geometry; values from VASP
! - N(E_F): 0.879 states/eV/atom
! - Calculated density: 8.525 g/cm³
&SYSTEM
  ibrav = 0, nat = 4, ntyp = 3
/
ATOMIC_SPECIES
Hg 200.59 Hg.upf
Rh 102.91 Rh.upf
Br 79.90 Br.upf
CELL_PARAMETERS angstrom
0.000 3.560 3.560
3.560 0.000 3.560
3.560 3.560 0.000
ATOMIC_POSITIONS angstrom
Hg 0.000 0.000 0.000
Rh 3.560 3.560 3.560
Br 1.780 1.780 1.780
Br 5.340 5.340 5.340

---

From most stable to least stable, the computed energies give #b, #a, #c.

---

#a
! Hg2RhBr GGA-PBE optimized geometry; values from VASP
! - N(E_F): 0.585 states/eV/atom
! - Calculated density: 10.597 g/cm³
&SYSTEM
  ibrav = 0, nat = 4, ntyp = 3
/
ATOMIC_SPECIES
Hg 200.59 Hg.upf
Rh 102.91 Rh.upf
Br 79.90 Br.upf
CELL_PARAMETERS angstrom
-1.528 2.220 6.744
1.528 -2.220 6.744
1.528 2.220 -6.744
ATOMIC_POSITIONS angstrom
Hg 0.000 0.000 2.487
Hg 0.000 0.000 11.002
Rh 1.528 0.000 0.000
Br 0.000 2.220 0.000

---

#b
! Hg2RhBr GGA-PBE optimized geometry; values from VASP
! - N(E_F): 0.534 states/eV/atom
! - Calculated density: 10.237 g/cm³
&SYSTEM
  ibrav = 0, nat = 4, ntyp = 3
/
ATOMIC_SPECIES
Hg 200.59 Hg.upf
Rh 102.91 Rh.upf
Br 79.90 Br.upf
CELL_PARAMETERS angstrom
1.870 1.080 7.819
-1.870 1.080 7.819
0.000 -2.160 7.819
ATOMIC_POSITIONS angstrom
Hg 0.000 0.000 5.616
Hg 0.000 0.000 17.840
Rh 0.000 0.000 11.728
Br 0.000 0.000 0.000

---

From most stable to least stable, the computed energies give #b, #a.

---

#a
! Hg2RhBr GGA-PBE optimized geometry; values from VASP
! - N(E_F): 0.658 states/eV/atom
! - Calculated density: 10.290 g/cm³
&SYSTEM
  ibrav = 0, nat = 4, ntyp = 3
/
ATOMIC_SPECIES
Hg 200.59 Hg.upf
Rh 102.91 Rh.upf
Br 79.90 Br.upf
CELL_PARAMETERS angstrom
-1.640 2.961 4.852
1.640 -2.961 4.852
1.640 2.961 -4.852
ATOMIC_POSITIONS angstrom
Hg 0.000 0.000 0.000
Hg 0.000 2.961 2.208
Rh 1.640 0.000 2.202
Br 0.000 0.000 4.009

---

#b
! Hg2RhBr GGA-PBE optimized geometry; values from VASP
! - N(E_F): 0.548 states/eV/atom
! - Calculated density: 9.282 g/cm³
&SYSTEM
  ibrav = 0, nat = 4, ntyp = 3
/
ATOMIC_SPECIES
Hg 200.59 Hg.upf
Rh 102.91 Rh.upf
Br 79.90 Br.upf
CELL_PARAMETERS angstrom
4.354 0.000 0.000
0.000 3.315 0.000
-0.021 0.000 7.238
ATOMIC_POSITIONS angstrom
Hg 0.000 0.000 0.000
Hg 2.159 1.657 5.116
Rh 4.336 0.000 4.565
Br 4.337 1.657 2.496

---

From most stable to least stable, the computed energies give #b, #a.

---

#a
! Hg2RhBr GGA-PBE optimized geometry; values from VASP
! - N(E_F): 0.094 states/eV/atom
! - Calculated density: 11.271 g/cm³
&SYSTEM
  ibrav = 0, nat = 4, ntyp = 3
/
ATOMIC_SPECIES
Hg 200.59 Hg.upf
Rh 102.91 Rh.upf
Br 79.90 Br.upf
CELL_PARAMETERS angstrom
0.000 3.504 3.504
3.504 0.000 3.504
3.504 3.504 0.000
ATOMIC_POSITIONS angstrom
Hg 1.752 1.752 1.752
Hg 5.256 5.256 5.256
Rh 0.000 0.000 0.000
Br 3.504 3.504 3.504

---

#b
! Hg2RhBr GGA-PBE optimized geometry; values from VASP
! - N(E_F): 0.740 states/eV/atom
! - Calculated density: 8.736 g/cm³
&SYSTEM
  ibrav = 0, nat = 4, ntyp = 3
/
ATOMIC_SPECIES
Hg 200.59 Hg.upf
Rh 102.91 Rh.upf
Br 79.90 Br.upf
CELL_PARAMETERS angstrom
5.074 -1.610 0.000
5.074 1.610 0.000
-1.207 0.000 6.795
ATOMIC_POSITIONS angstrom
Hg 0.000 0.000 0.000
Hg 1.510 0.000 4.960
Rh 4.251 0.000 4.613
Br 9.031 0.000 2.592

---

#c
! Hg2RhBr GGA-PBE optimized geometry; values from VASP
! - N(E_F): 0.143 states/eV/atom
! - Calculated density: 11.512 g/cm³
&SYSTEM
  ibrav = 0, nat = 4, ntyp = 3
/
ATOMIC_SPECIES
Hg 200.59 Hg.upf
Rh 102.91 Rh.upf
Br 79.90 Br.upf
CELL_PARAMETERS angstrom
0.000 3.479 3.479
3.479 0.000 3.479
3.479 3.479 0.000
ATOMIC_POSITIONS angstrom
Hg 0.000 0.000 0.000
Hg 1.740 1.740 1.740
Rh 3.479 3.479 3.479
Br 5.219 5.219 5.219

---

From most stable to least stable, the computed energies give #b, #c, #a.

---

#a
! HgRu2Br GGA-PBE optimized geometry; values from VASP
! - N(E_F): 1.153 states/eV/atom
! - Calculated density: 10.384 g/cm³
&SYSTEM
  ibrav = 0, nat = 4, ntyp = 3
/
ATOMIC_SPECIES
Hg 200.59 Hg.upf
Ru 101.07 Ru.upf
Br 79.90 Br.upf
CELL_PARAMETERS angstrom
3.026 0.000 0.000
0.000 2.992 0.000
-1.414 0.000 8.527
ATOMIC_POSITIONS angstrom
Hg 0.000 0.000 0.000
Ru 0.095 1.496 6.530
Ru 1.607 0.000 5.010
Br 1.606 1.496 2.950

---

#b
! HgRu2Br GGA-PBE optimized geometry; values from VASP
! - N(E_F): 1.501 states/eV/atom
! - Calculated density: 11.092 g/cm³
&SYSTEM
  ibrav = 0, nat = 4, ntyp = 3
/
ATOMIC_SPECIES
Hg 200.59 Hg.upf
Ru 101.07 Ru.upf
Br 79.90 Br.upf
CELL_PARAMETERS angstrom
2.972 -4.585 0.000
2.972 4.585 0.000
-1.555 0.000 2.651
ATOMIC_POSITIONS angstrom
Hg 0.000 0.000 0.000
Ru 0.709 2.293 1.325
Ru 0.709 -2.293 1.325
Br 2.972 0.000 0.000

---

#c
! HgRu2Br GGA-PBE optimized geometry; values from VASP
! - N(E_F): 1.220 states/eV/atom
! - Calculated density: 11.109 g/cm³
&SYSTEM
  ibrav = 0, nat = 4, ntyp = 3
/
ATOMIC_SPECIES
Hg 200.59 Hg.upf
Ru 101.07 Ru.upf
Br 79.90 Br.upf
CELL_PARAMETERS angstrom
-1.484 2.375 5.116
1.484 -2.375 5.116
1.484 2.375 -5.116
ATOMIC_POSITIONS angstrom
Hg 0.000 0.000 0.000
Ru 1.484 0.000 2.853
Ru 0.000 0.000 4.988
Br 0.000 2.375 2.207

---

From most stable to least stable, the computed energies give #a, #c, #b.

---

#a
! HgRu2Br GGA-PBE optimized geometry; values from VASP
! - N(E_F): 1.183 states/eV/atom
! - Calculated density: 11.087 g/cm³
&SYSTEM
  ibrav = 0, nat = 4, ntyp = 3
/
ATOMIC_SPECIES
Hg 200.59 Hg.upf
Ru 101.07 Ru.upf
Br 79.90 Br.upf
CELL_PARAMETERS angstrom
2.968 0.000 0.000
0.000 4.658 0.000
0.000 0.000 5.230
ATOMIC_POSITIONS angstrom
Hg 0.000 0.000 0.000
Ru 0.000 2.329 2.615
Ru 1.484 2.329 0.000
Br 1.484 0.000 2.615

---

#b
! HgRu2Br GGA-PBE optimized geometry; values from VASP
! - N(E_F): 1.009 states/eV/atom
! - Calculated density: 11.775 g/cm³
&SYSTEM
  ibrav = 0, nat = 4, ntyp = 3
/
ATOMIC_SPECIES
Hg 200.59 Hg.upf
Ru 101.07 Ru.upf
Br 79.90 Br.upf
CELL_PARAMETERS angstrom
1.516 0.875 8.553
-1.516 0.875 8.553
0.000 -1.750 8.553
ATOMIC_POSITIONS angstrom
Hg 0.000 0.000 0.000
Ru 0.000 0.000 6.279
Ru 0.000 0.000 19.381
Br 0.000 0.000 12.830

---

#c
! HgRu2Br GGA-PBE optimized geometry; values from VASP
! - N(E_F): 1.394 states/eV/atom
! - Calculated density: 11.315 g/cm³
&SYSTEM
  ibrav = 0, nat = 4, ntyp = 3
/
ATOMIC_SPECIES
Hg 200.59 Hg.upf
Ru 101.07 Ru.upf
Br 79.90 Br.upf
CELL_PARAMETERS angstrom
1.469 -2.665 0.000
1.469 2.665 0.000
0.000 0.000 9.047
ATOMIC_POSITIONS angstrom
Hg 0.000 0.000 0.000
Ru 1.469 0.000 2.386
Ru 1.469 0.000 6.661
Br 0.000 0.000 4.524

---

From most stable to least stable, the computed energies give #b, #c, #a.

---

#a
! HgRuBr GGA-PBE optimized geometry; values from VASP
! - N(E_F): 0.954 states/eV/atom
! - Calculated density: 9.686 g/cm³
&SYSTEM
  ibrav = 0, nat = 3, ntyp = 3
/
ATOMIC_SPECIES
Hg 200.59 Hg.upf
Ru 101.07 Ru.upf
Br 79.90 Br.upf
CELL_PARAMETERS angstrom
0.000 2.880 7.190
1.579 0.000 7.190
1.579 2.880 0.000
ATOMIC_POSITIONS angstrom
Hg 0.000 0.000 0.000
Ru 1.579 2.880 4.920
Br 1.579 2.880 10.235

---

#b
! HgRuBr GGA-PBE optimized geometry; values from VASP
! - N(E_F): 1.044 states/eV/atom
! - Calculated density: 9.494 g/cm³
&SYSTEM
  ibrav = 0, nat = 3, ntyp = 3
/
ATOMIC_SPECIES
Hg 200.59 Hg.upf
Ru 101.07 Ru.upf
Br 79.90 Br.upf
CELL_PARAMETERS angstrom
-1.614 1.614 6.401
1.614 -1.614 6.401
1.614 1.614 -6.401
ATOMIC_POSITIONS angstrom
Hg 0.000 0.000 0.000
Ru 0.000 0.000 8.174
Br 0.000 0.000 3.382

---

From most stable to least stable, the computed energies give #a, #b.

---

#a
! HgRuBr GGA-PBE optimized geometry; values from VASP
! - N(E_F): 1.185 states/eV/atom
! - Calculated density: 9.631 g/cm³
&SYSTEM
  ibrav = 0, nat = 3, ntyp = 3
/
ATOMIC_SPECIES
Hg 200.59 Hg.upf
Ru 101.07 Ru.upf
Br 79.90 Br.upf
CELL_PARAMETERS angstrom
3.449 0.000 0.000
-1.724 2.987 0.000
0.000 0.000 6.386
ATOMIC_POSITIONS angstrom
Hg 0.000 0.000 0.000
Ru 1.724 0.996 2.033
Br 0.000 1.991 3.505

---

#b
! HgRuBr GGA-PBE optimized geometry; values from VASP
! - N(E_F): 0.925 states/eV/atom
! - Calculated density: 9.064 g/cm³
&SYSTEM
  ibrav = 0, nat = 3, ntyp = 3
/
ATOMIC_SPECIES
Hg 200.59 Hg.upf
Ru 101.07 Ru.upf
Br 79.90 Br.upf
CELL_PARAMETERS angstrom
0.000 3.270 3.270
3.270 0.000 3.270
3.270 3.270 0.000
ATOMIC_POSITIONS angstrom
Hg 0.000 0.000 0.000
Ru 4.904 4.904 4.904
Br 3.270 3.270 3.270

---

From most stable to least stable, the computed energies give #a, #b.

---

#a
! HgRu2Br2 GGA-PBE optimized geometry; values from VASP
! - N(E_F): 1.280 states/eV/atom
! - Calculated density: 7.037 g/cm³
&SYSTEM
  ibrav = 0, nat = 5, ntyp = 3
/
ATOMIC_SPECIES
Hg 200.59 Hg.upf
Ru 101.07 Ru.upf
Br 79.90 Br.upf
CELL_PARAMETERS angstrom
-2.018 2.018 8.147
2.018 -2.018 8.147
2.018 2.018 -8.147
ATOMIC_POSITIONS angstrom
Hg 0.000 0.000 0.000
Ru 2.018 0.000 4.074
Ru 0.000 2.018 4.074
Br 0.000 0.000 5.535
Br 0.000 0.000 10.760

---

#b
! HgRu2Br2 GGA-PBE optimized geometry; values from VASP
! - N(E_F): 1.303 states/eV/atom
! - Calculated density: 9.455 g/cm³
&SYSTEM
  ibrav = 0, nat = 10, ntyp = 3
/
ATOMIC_SPECIES
Hg 200.59 Hg.upf
Ru 101.07 Ru.upf
Br 79.90 Br.upf
CELL_PARAMETERS angstrom
8.088 0.000 0.000
0.000 8.088 0.000
0.000 0.000 3.020
ATOMIC_POSITIONS angstrom
Hg 0.000 0.000 0.000
Hg 4.044 4.044 0.000
Ru 1.580 2.464 1.510
Ru 2.464 6.508 1.510
Ru 5.624 1.580 1.510
Ru 6.508 5.624 1.510
Br 1.070 5.114 0.000
Br 2.974 1.070 0.000
Br 5.114 7.018 0.000
Br 7.018 2.974 0.000

---

From most stable to least stable, the computed energies give #a, #b.

---

#a
! HgRu3Br GGA-PBE optimized geometry; values from VASP
! - N(E_F): 1.990 states/eV/atom
! - Calculated density: 7.333 g/cm³
&SYSTEM
  ibrav = 0, nat = 5, ntyp = 3
/
ATOMIC_SPECIES
Hg 200.59 Hg.upf
Ru 101.07 Ru.upf
Br 79.90 Br.upf
CELL_PARAMETERS angstrom
5.094 0.000 0.000
0.000 5.094 0.000
0.000 0.000 5.094
ATOMIC_POSITIONS angstrom
Hg 0.000 0.000 0.000
Ru 0.000 0.000 2.547
Ru 0.000 2.547 0.000
Ru 2.547 0.000 0.000
Br 2.547 2.547 2.547

---

#b
! HgRu3Br GGA-PBE optimized geometry; values from VASP
! - N(E_F): 1.417 states/eV/atom
! - Calculated density: 10.168 g/cm³
&SYSTEM
  ibrav = 0, nat = 5, ntyp = 3
/
ATOMIC_SPECIES
Hg 200.59 Hg.upf
Ru 101.07 Ru.upf
Br 79.90 Br.upf
CELL_PARAMETERS angstrom
4.568 0.000 0.000
0.000 4.568 0.000
0.000 0.000 4.568
ATOMIC_POSITIONS angstrom
Hg 0.000 0.000 0.000
Ru 0.000 2.284 2.284
Ru 2.284 0.000 2.284
Ru 2.284 2.284 0.000
Br 2.284 2.284 2.284

---

From most stable to least stable, the computed energies give #b, #a.

---

#a
! Hg2SBr GGA-PBE optimized geometry; values from VASP
! - N(E_F): 0.115 states/eV/atom
! - Calculated density: 6.102 g/cm³
&SYSTEM
  ibrav = 0, nat = 12, ntyp = 3
/
ATOMIC_SPECIES
Hg 200.59 Hg.upf
S 32.06 S.upf
Br 79.90 Br.upf
CELL_PARAMETERS angstrom
7.282 0.000 0.000
-3.154 6.901 0.000
-0.644 -0.989 8.337
ATOMIC_POSITIONS angstrom
Hg 0.000 0.000 0.000
Hg -2.964 5.494 4.481
Hg -1.768 2.614 8.133
Hg 2.998 0.198 2.226
Hg 3.418 -0.046 6.248
Hg 2.870 3.142 4.645
S -1.888 5.296 1.336
S 1.816 0.700 4.491
S 5.853 0.664 6.730
Br 0.591 4.244 6.879
Br 2.659 2.093 0.232
Br 5.634 0.473 2.512

---

#b
! Hg2SBr GGA-PBE optimized geometry; values from VASP
! - N(E_F): 0.081 states/eV/atom
! - Calculated density: 6.355 g/cm³
&SYSTEM
  ibrav = 0, nat = 8, ntyp = 3
/
ATOMIC_SPECIES
Hg 200.59 Hg.upf
S 32.06 S.upf
Br 79.90 Br.upf
CELL_PARAMETERS angstrom
-3.162 3.162 6.704
3.162 -3.162 6.704
3.162 3.162 -6.704
ATOMIC_POSITIONS angstrom
Hg 4.743 1.196 -1.676
Hg 1.196 1.581 1.676
Hg -1.581 1.967 5.028
Hg 1.967 1.581 8.381
S 0.000 0.000 0.000
S 0.000 3.162 3.352
Br 3.162 0.000 3.352
Br 0.000 0.000 6.704

---

#c
! Hg2SBr GGA-PBE optimized geometry; values from VASP
! - N(E_F): 0.499 states/eV/atom
! - Calculated density: 6.896 g/cm³
&SYSTEM
  ibrav = 0, nat = 4, ntyp = 3
/
ATOMIC_SPECIES
Hg 200.59 Hg.upf
S 32.06 S.upf
Br 79.90 Br.upf
CELL_PARAMETERS angstrom
2.092 1.208 8.150
-2.092 1.208 8.150
0.000 -2.416 8.150
ATOMIC_POSITIONS angstrom
Hg 0.000 0.000 2.670
Hg 0.000 0.000 21.779
S 0.000 0.000 12.224
Br 0.000 0.000 0.000

---

#d
! Hg2SBr GGA-PBE optimized geometry; values from VASP
! - N(E_F): 0.463 states/eV/atom
! - Calculated density: 9.060 g/cm³
&SYSTEM
  ibrav = 0, nat = 4, ntyp = 3
/
ATOMIC_SPECIES
Hg 200.59 Hg.upf
S 32.06 S.upf
Br 79.90 Br.upf
CELL_PARAMETERS angstrom
0.000 3.610 3.610
3.610 0.000 3.610
3.610 3.610 0.000
ATOMIC_POSITIONS angstrom
Hg 1.805 1.805 1.805
Hg 5.414 5.414 5.414
S 0.000 0.000 0.000
Br 3.610 3.610 3.610

---

From most stable to least stable, the computed energies give #a, #b, #c, #d.